Density functional theory data (meta-GGA SCAN) for a crystal of Sr2LiMg relaxed with PBEsol.

a b c (Å): 5.840 5.840 4.176
angles (deg): 90.00 90.00 90.00
Space group P4/mmm (No. 123)
Symmetry-distinct sites (fractional):
1 Sr 0.000 0.500 0.000 [2 per cell]
2 Li 0.000 0.000 0.500 [1 per cell]
3 Mg 0.500 0.500 0.500 [1 per cell]

energy relative to the elements = -0.019 eV per atom
spin magnetization = 0.041 μB/atom
D(E_F) = 0.910 states/eV/atom
E_tot = -52.0 eV per cell
crystal system = tetragonal



Density functional theory data (meta-GGA SCAN) for a crystal of SrLi2Mg relaxed with PBEsol.

a b c (Å): 4.795 4.795 9.942
angles (deg): 90.00 90.00 90.00
Space group I-4m2 (No. 119)
Symmetry-distinct sites (fractional):
1 Sr 0.000 0.000 0.000 [2 per cell]
2 Li 0.000 0.000 0.500 [2 per cell]
3 Li 0.000 0.500 0.250 [2 per cell]
4 Mg 0.000 0.500 0.750 [2 per cell]

energy relative to the elements = 0.060 eV per atom
spin magnetization = 0.007 μB/atom
D(E_F) = 0.596 states/eV/atom
ΔE to the lowest computed polymorph = 46 meV per atom
E_tot = -63.6 eV per cell
crystal system = tetragonal



Density functional theory data (meta-GGA SCAN) for a crystal of Sr2LiMg relaxed with PBEsol.

a b c (Å): 3.999 5.937 11.978
angles (deg): 90.00 90.00 90.00
Space group Imm2 (No. 44)
Symmetry-distinct sites (fractional):
1 Sr 0.000 0.000 0.000 [2 per cell]
2 Sr 0.000 0.500 0.209 [2 per cell]
3 Li 0.000 0.500 0.761 [2 per cell]
4 Mg 0.000 0.000 0.447 [2 per cell]

energy relative to the elements = 0.003 eV per atom
spin magnetization = 0.076 μB/atom
D(E_F) = 0.736 states/eV/atom
E_tot = -103.8 eV per cell
crystal system = orthorhombic



What is the energy relative to the elements in the second record?
0.060 eV per atom



Number 3 is which compound?
Sr2LiMg